Here is RbOs3O12 after structural relaxation from the Alexandria database. Energies are from PBE.

a b c (Å): 12.7644 12.7644 12.7644
angles (deg): 42.53 42.53 42.53
With the nearest neighbours (Å) after each atom.
Positions (direct):
Rb 0.0000 0.0000 0.0000  9 O 2.89-3.21
Rb 0.5000 0.5000 0.5000  9 O 2.89-3.21
Os 0.0873 0.3878 0.7301  4 O 1.73-1.74
Os 0.2301 0.8878 0.5873  4 O 1.73-1.74
Os 0.3878 0.7301 0.0873  4 O 1.73-1.74
Os 0.5873 0.2301 0.8878  4 O 1.73-1.74
Os 0.7301 0.0873 0.3878  4 O 1.73-1.74
Os 0.8878 0.5873 0.2301  4 O 1.73-1.74
O 0.0969 0.4664 0.1264  1 Os 1.73
O 0.1264 0.0969 0.4664  1 Os 1.73
O 0.1587 0.7589 0.6634  1 Os 1.74
O 0.1634 0.2589 0.6587  1 Os 1.74
O 0.1885 0.8778 0.7581  1 Os 1.74
O 0.2581 0.3778 0.6885  1 Os 1.74
O 0.2589 0.6587 0.1634  1 Os 1.74
O 0.3127 0.9491 0.9600  1 Os 1.74
O 0.3778 0.6885 0.2581  1 Os 1.74
O 0.4491 0.8127 0.4600  1 Os 1.74
O 0.4600 0.4491 0.8127  1 Os 1.74
O 0.4664 0.1264 0.0969  1 Os 1.73
O 0.5969 0.6264 0.9664  1 Os 1.73
O 0.6264 0.9664 0.5969  1 Os 1.73
O 0.6587 0.1634 0.2589  1 Os 1.74
O 0.6634 0.1587 0.7589  1 Os 1.74
O 0.6885 0.2581 0.3778  1 Os 1.74
O 0.7581 0.1885 0.8778  1 Os 1.74
O 0.7589 0.6634 0.1587  1 Os 1.74
O 0.8127 0.4600 0.4491  1 Os 1.74
O 0.8778 0.7581 0.1885  1 Os 1.74
O 0.9491 0.9600 0.3127  1 Os 1.74
O 0.9600 0.3127 0.9491  1 Os 1.74
O 0.9664 0.5969 0.6264  1 Os 1.73

Calculated values
VASP energy = -6.9619 eV/atom
space group = R3c, No. 161
DOS(E_F) = 0.64 states/eV/atom
total magnetic moment = 0.0797 μB per atom